(1)
# Na3FeN8

A relaxed Na3FeN8 crystal (PBE, Alexandria via LeMat-Bulk).

Lattice parameters (Å, degrees): 6.2915 6.2915 6.2915 122.00 122.00 86.57
Positions (direct):
Na (0.0000, 0.0000, 0.0000)
Na (0.2500, 0.7500, 0.5000)
Na (0.7500, 0.2500, 0.5000)
Fe (0.5000, 0.5000, 0.0000)
N (0.1788, 0.6079, 0.0000)
N (0.2536, 0.2536, 0.5577)
N (0.3041, 0.7464, 0.0000)
N (0.3921, 0.3921, 0.5710)
N (0.6079, 0.1788, 0.0000)
N (0.6959, 0.6959, 0.4423)
N (0.7464, 0.3041, 0.0000)
N (0.8212, 0.8212, 0.4290)

Calculated values
* raw formation energy: 7 meV per atom
* space group: I-42m, No. 121



(2)
# NaGa2Fe

A relaxed NaGa2Fe crystal (PBE, Alexandria via LeMat-Bulk).

Lattice parameters (Å, degrees): 9.3751 9.3751 9.3751 17.84 17.84 17.84
Positions (direct):
Na (0.0000, 0.0000, 0.0000)
Ga (0.2380, 0.2380, 0.2380)
Ga (0.7620, 0.7620, 0.7620)
Fe (0.5000, 0.5000, 0.5000)

Calculated values
* space group: R-3m, No. 166
* E_form: 0.440 eV per formula unit



(3)
# ReIr2Cl

A relaxed ReIr2Cl crystal (PBE, Alexandria via LeMat-Bulk).

Lattice parameters (Å, degrees): 4.4436 4.4436 4.4436 60.00 60.00 60.00
Positions (direct):
Re (0.0000, 0.0000, 0.0000)
Ir (0.2500, 0.2500, 0.2500)
Ir (0.7500, 0.7500, 0.7500)
Cl (0.5000, 0.5000, 0.5000)

Calculated values
* raw formation energy: 1097 meV per atom
* space group: Fm-3m, No. 225



(4)
# Pm3PtC

A relaxed Pm3PtC crystal (PBE, Alexandria via LeMat-Bulk).

Lattice parameters (Å, degrees): 8.8205 3.8103 13.9765 90.00 90.00 90.00
Positions (direct):
Pm (0.0063, 0.2500, 0.1068)
Pm (0.1737, 0.2500, 0.5304)
Pm (0.1911, 0.7500, 0.3012)
Pm (0.3089, 0.2500, 0.8012)
Pm (0.3263, 0.7500, 0.0304)
Pm (0.4937, 0.7500, 0.6068)
Pm (0.5063, 0.2500, 0.3932)
Pm (0.6737, 0.2500, 0.9696)
Pm (0.6911, 0.7500, 0.1988)
Pm (0.8089, 0.2500, 0.6988)
Pm (0.8263, 0.7500, 0.4696)
Pm (0.9937, 0.7500, 0.8932)
Pt (0.0975, 0.7500, 0.6855)
Pt (0.4025, 0.2500, 0.1855)
Pt (0.5975, 0.7500, 0.8145)
Pt (0.9025, 0.2500, 0.3145)
C (0.1620, 0.2500, 0.9494)
C (0.3380, 0.7500, 0.4494)
C (0.6620, 0.2500, 0.5506)
C (0.8380, 0.7500, 0.0506)

Calculated values
* space group: Pnma, No. 62
* E_form: -2.610 eV per formula unit



(5)
# K2Rb2SeO4

A relaxed K2Rb2SeO4 crystal (PBE, Alexandria via LeMat-Bulk).

Lattice parameters (Å, degrees): 6.2080 6.2080 6.2080 118.28 118.28 93.00
Positions (direct):
K (0.1569, 0.1569, 0.0000)
K (0.8431, 0.8431, 0.0000)
Rb (0.2500, 0.7500, 0.5000)
Rb (0.7500, 0.2500, 0.5000)
Se (0.5000, 0.5000, 0.0000)
O (0.2832, 0.2832, 0.5663)
O (0.2832, 0.7168, 0.0000)
O (0.7168, 0.2832, 0.0000)
O (0.7168, 0.7168, 0.4337)

Calculated values
* raw formation energy: -870 meV per atom
* space group: I4/mmm, No. 139



(6)
# MgAl3Cl

A relaxed MgAl3Cl crystal (PBE, Alexandria via LeMat-Bulk).

Lattice parameters (Å, degrees): 5.2642 5.2642 5.2642 90.00 90.00 90.00
Positions (direct):
Mg (0.0000, 0.0000, 0.0000)
Al (0.0000, 0.0000, 0.5000)
Al (0.0000, 0.5000, 0.0000)
Al (0.5000, 0.0000, 0.0000)
Cl (0.5000, 0.5000, 0.5000)

Calculated values
* raw formation energy: 617 meV per atom
* space group: Pm-3m, No. 221



(7)
# RbNa2SrAu

A relaxed RbNa2SrAu crystal (PBE, Alexandria via LeMat-Bulk).

Lattice parameters (Å, degrees): 6.0592 6.0592 6.0581 90.00 90.00 90.00
Positions (direct):
Rb (0.0000, 0.0000, 0.0000)
Na (0.0000, 0.5000, 0.5000)
Na (0.5000, 0.0000, 0.5000)
Sr (0.5000, 0.5000, 0.0000)
Au (0.5000, 0.5000, 0.5000)

Calculated values
* space group: P4/mmm, No. 123
* E_form: -0.744 eV per formula unit



(8)
# AlAgC

A relaxed AlAgC crystal (PBE, Alexandria via LeMat-Bulk).

Lattice parameters (Å, degrees): 3.0760 3.0760 10.4132 98.55 98.55 59.84
Positions (direct):
Al (0.0000, 0.0000, 0.0000)
Al (0.1144, 0.1144, 0.3388)
Ag (0.2629, 0.2629, 0.7900)
Ag (0.8511, 0.8511, 0.5558)
C (0.7020, 0.7020, 0.1048)
C (0.7474, 0.7474, 0.2358)

Calculated values
* space group: Cm, No. 8
* E_form: 0.701 eV per formula unit



(9)
# NdTiPd

A relaxed NdTiPd crystal (PBE, Alexandria via LeMat-Bulk).

Lattice parameters (Å, degrees): 3.4055 3.4055 11.1394 90.00 90.00 90.00
Positions (direct):
Nd (0.0000, 0.0000, 0.1733)
Nd (0.0000, 0.0000, 0.8267)
Ti (0.5000, 0.5000, 0.3763)
Ti (0.5000, 0.5000, 0.6237)
Pd (0.0000, 0.0000, 0.5000)
Pd (0.5000, 0.5000, 0.0000)

Calculated values
* space group: P4/mmm, No. 123
* E_form: -0.726 eV per formula unit



(10)
# PrLuTc4

A relaxed PrLuTc4 crystal (PBE, Alexandria via LeMat-Bulk).

Lattice parameters (Å, degrees): 5.4357 5.4357 5.4357 60.00 60.00 60.00
Positions (direct):
Pr (0.0000, 0.0000, 0.0000)
Lu (0.7500, 0.7500, 0.7500)
Tc (0.3752, 0.3752, 0.3752)
Tc (0.3752, 0.3752, 0.8743)
Tc (0.3752, 0.8743, 0.3752)
Tc (0.8743, 0.3752, 0.3752)

Calculated values
* space group: F-43m, No. 216
* E_form: -0.234 eV per formula unit



(11)
# Pr2PaSnN5

A relaxed Pr2PaSnN5 crystal (PBE, Alexandria via LeMat-Bulk).

Lattice parameters (Å, degrees): 7.5017 7.5017 10.7559 90.00 90.00 152.64
Positions (direct):
Pr (0.1112, 0.8888, 0.5000)
Pr (0.1294, 0.8706, 0.0940)
Pr (0.8706, 0.1294, 0.5940)
Pr (0.8888, 0.1112, 0.0000)
Pa (0.2164, 0.7836, 0.8097)
Pa (0.7836, 0.2164, 0.3097)
Sn (0.4837, 0.5163, 0.2746)
Sn (0.5163, 0.4837, 0.7746)
N (0.0566, 0.9434, 0.8631)
N (0.2825, 0.7175, 0.4444)
N (0.3045, 0.6955, 0.1775)
N (0.3702, 0.6298, 0.8082)
N (0.4965, 0.5035, 0.5826)
N (0.5035, 0.4965, 0.0826)
N (0.6298, 0.3702, 0.3082)
N (0.6955, 0.3045, 0.6775)
N (0.7175, 0.2825, 0.9444)
N (0.9434, 0.0566, 0.3631)

Calculated values
* raw formation energy: -1014 meV per atom
* space group: Cmc2_1, No. 36



(12)
# VSiPtRh2

A relaxed VSiPtRh2 crystal (PBE, Alexandria via LeMat-Bulk).

Lattice parameters (Å, degrees): 4.3853 4.3853 4.4921 90.00 90.00 90.00
Positions (direct):
V (0.0000, 0.0000, 0.0000)
Si (0.0000, 0.0000, 0.5000)
Pt (0.5000, 0.5000, 0.5000)
Rh (0.0000, 0.5000, 0.0000)
Rh (0.5000, 0.0000, 0.0000)

Calculated values
* raw formation energy: 773 meV per atom
* space group: P4/mmm, No. 123



Number 1: V 170 Å³ per cell. Number 2: V 67 Å³ per cell. Number 3: V 62 Å³ per cell. Number 4: V 470 Å³ per cell. Number 5: V 173 Å³ per cell. Number 6: V 146 Å³ per cell. Number 7: V 222 Å³ per cell. Number 8: V 84 Å³ per cell. Number 9: V 129 Å³ per cell. Number 10: V 114 Å³ per cell. Number 11: V 278 Å³ per cell. Number 12: V 86 Å³ per cell.